1.
Compound: As2SeCl
Source: the Alexandria database
Functional: PBE
Structure: optimized geometry

Output
**ΔE to the lowest computed polymorph**: 0.560 eV/atom
**Crystal system**: cubic
**Total magnetization**: 0.000 μB/f.u.
**Calculated density**: 5.54 g cm⁻³
**Electronic total energy**: -12.919 eV per formula unit
**Space group**: Fm-3m (225)

Cell lengths 4.821, 4.821, 4.821 Å; angles 60.00, 60.00, 60.00 degrees
Fractional positions:
As  0.250  0.250  0.250
As  0.750  0.750  0.750
Se  0.000  0.000  0.000
Cl  0.500  0.500  0.500

***

2.
Compound: FeTc2Pt
Source: the Alexandria database
Functional: PBE
Structure: optimized geometry

Output
**ΔE to the lowest computed polymorph**: 0.351 eV/atom
**Crystal system**: cubic
**Total magnetization**: 2.625 μB/f.u.
**Calculated density**: 12.82 g cm⁻³
**Energy of formation**: 6.750 kcal/mol of atoms
**Electronic total energy**: -34.065 eV per formula unit
**Space group**: Fm-3m (225)

Cell lengths 4.342, 4.342, 4.342 Å; angles 60.00, 60.00, 60.00 degrees
Fractional positions:
Fe  0.000  0.000  0.000
Tc  0.250  0.250  0.250
Tc  0.750  0.750  0.750
Pt  0.500  0.500  0.500

***

3.
Compound: LaCeHgAu
Source: the Alexandria database
Functional: PBE
Structure: optimized geometry

Output
**ΔE to the lowest computed polymorph**: 0.000 eV/atom
**Crystal system**: tetragonal
**Total magnetization**: 1.027 μB/f.u.
**Calculated density**: 10.19 g cm⁻³
**Energy of formation**: -12.376 kcal/mol of atoms
**Electronic total energy**: -16.587 eV per formula unit
**Space group**: P4mm (99)

Cell lengths 3.793, 3.793, 7.664 Å; angles 90.00, 90.00, 90.00 degrees
Fractional positions:
La  0.000  0.000  0.000
Ce  0.000  0.000  0.530
Hg  0.500  0.500  0.273
Au  0.500  0.500  0.754

***

4.
Compound: FeTc2Au
Source: the Alexandria database
Functional: PBE
Structure: optimized geometry

Output
**ΔE to the lowest computed polymorph**: 0.144 eV/atom
**Crystal system**: orthorhombic
**Total magnetization**: 2.293 μB/f.u.
**Calculated density**: 12.67 g cm⁻³
**Energy of formation**: 7.795 kcal/mol of atoms
**Electronic total energy**: -31.120 eV per formula unit
**Space group**: Cmmm (65)

Cell lengths 4.868, 4.868, 2.702 Å; angles 90.00, 90.00, 113.20 degrees
Fractional positions:
Fe  0.000  0.000  0.000
Tc  0.000  0.500  0.500
Tc  0.500  0.000  0.500
Au  0.500  0.500  0.000

***

5.
Compound: Cu3RuC
Source: the Alexandria database
Functional: PBE
Structure: optimized geometry

Output
**ΔE to the lowest computed polymorph**: 1.902 eV/atom
**Crystal system**: cubic
**Total magnetization**: 0.000 μB/f.u.
**Calculated density**: 5.31 g cm⁻³
**Energy of formation**: 59.989 kcal/mol of atoms
**Electronic total energy**: -17.781 eV per formula unit
**Space group**: Pm-3m (221)

Cell lengths 4.562, 4.562, 4.562 Å; angles 90.00, 90.00, 90.00 degrees
Fractional positions:
Cu  0.000  0.000  0.500
Cu  0.000  0.500  0.000
Cu  0.500  0.000  0.000
Ru  0.000  0.000  0.000
C  0.500  0.500  0.500

***

6.
Compound: DyTiAlIr2
Source: the Alexandria database
Functional: PBE
Structure: optimized geometry

Output
**Crystal system**: tetragonal
**Total magnetization**: 0.000 μB/f.u.
**Calculated density**: 11.10 g cm⁻³
**Energy of formation**: -20.533 kcal/mol of atoms
**Electronic total energy**: -38.414 eV per formula unit
**Space group**: I-4m2 (119)

Cell lengths 6.426, 6.426, 6.426 Å; angles 143.56, 143.56, 52.48 degrees
Fractional positions:
Dy  0.000  0.000  0.000
Ti  0.250  0.750  0.500
Al  0.750  0.250  0.500
Ir  0.386  0.386  0.000
Ir  0.614  0.614  0.000

***

7.
Compound: AgSn3Au3
Source: the Alexandria database
Functional: PBE
Structure: optimized geometry

Output
**ΔE to the lowest computed polymorph**: 0.000 eV/atom
**Crystal system**: trigonal
**Total magnetization**: 0.000 μB/f.u.
**Calculated density**: 10.17 g cm⁻³
**Energy of formation**: -2.291 kcal/mol of atoms
**Electronic total energy**: -25.387 eV per formula unit
**Space group**: R-3 (148)

Cell lengths 7.547, 7.547, 7.547 Å; angles 66.20, 66.20, 66.20 degrees
Fractional positions:
Ag  0.165  0.165  0.165
Ag  0.835  0.835  0.835
Sn  0.094  0.721  0.402
Sn  0.279  0.598  0.906
Sn  0.402  0.094  0.721
Sn  0.598  0.906  0.279
Sn  0.721  0.402  0.094
Sn  0.906  0.279  0.598
Au  0.075  0.431  0.774
Au  0.226  0.925  0.569
Au  0.431  0.774  0.075
Au  0.569  0.226  0.925
Au  0.774  0.075  0.431
Au  0.925  0.569  0.226

***

8.
Compound: Re2Sb
Source: the Alexandria database
Functional: PBE
Structure: optimized geometry

Output
**ΔE to the lowest computed polymorph**: 0.406 eV/atom
**Crystal system**: orthorhombic
**Total magnetization**: 0.000 μB/f.u.
**Calculated density**: 16.11 g cm⁻³
**Electronic total energy**: -27.195 eV per formula unit
**Space group**: Cmcm (63)

Cell lengths 7.306, 7.306, 4.716 Å; angles 90.00, 90.00, 156.13 degrees
Fractional positions:
Re  0.043  0.957  0.750
Re  0.293  0.707  0.250
Re  0.707  0.293  0.750
Re  0.957  0.043  0.250
Sb  0.381  0.619  0.750
Sb  0.619  0.381  0.250

***

> Look up the electronic total energy of the third one.

-16.587 eV per formula unit